CuSnBRh2 | PBE | relaxed

abc: 4.159 4.159 4.066
angles: 90.00 90.00 90.00
Space group P4/mmm (No. 123)
Inequivalent atoms, fractional coordinates:
Cu: 0.000 0.000 0.000 [1 per cell]
Sn: 0.500 0.500 0.000 [1 per cell]
B: 0.000 0.000 0.500 [1 per cell]
Rh: 0.000 0.500 0.500 [2 per cell]

Calculated values
- raw total energy (eV for the cell shown) = -30.48
- energy of formation (eV/atom) = -0.20
- distance to the lowest polymorph of the same formula (eV per formula unit) = 0.00
- Fermi-level density of states (states/eV/cell) = 2.429
- crystal system = tetragonal